Material: SrRe2W
Method: DFT, meta-GGA SCAN
State: PBEsol geometry

Cell lengths 2.918, 2.918, 8.775 Å; angles 90.00, 90.00, 90.00 degrees
Space group P4mm (No. 99)
Symmetry-distinct sites (fractional):
Sr (0.000, 0.000, 0.000)
Re (0.000, 0.000, 0.531)
Re (0.500, 0.500, 0.709)
W (0.500, 0.500, 0.317)

E above lowest polymorph: 0.000 eV/atom

Material: Al5Ag7
Method: DFT, meta-GGA SCAN
State: PBEsol geometry

Cell lengths 7.859, 2.965, 8.310 Å; angles 90.00, 91.43, 90.00 degrees
Space group Pm (No. 6)
Symmetry-distinct sites (fractional):
Al (0.000, 0.000, 0.000)
Al (0.004, 0.000, 0.336)
Al (0.256, 0.500, 0.170)
Al (0.510, 0.000, 0.000)
Al (0.738, 0.500, 0.510)
Ag (0.242, 0.500, 0.495)
Ag (0.247, 0.500, 0.850)
Ag (0.496, 0.000, 0.672)
Ag (0.501, 0.000, 0.329)
Ag (0.752, 0.500, 0.843)
Ag (0.763, 0.500, 0.179)
Ag (0.991, 0.000, 0.662)

E above lowest polymorph: 0.002 eV/atom

So what do the calculations give for DOS at the Fermi energy? Going down the list: 1.0441; 0.2710 states/eV per atom.
So what do the calculations give for uncorrected energy? Going down the list: -57.744; -21.621 eV/atom.
So what do the calculations give for formation enthalpy at 0 K? Going down the list: 795; -93 meV per atom.